First-principles (GGA-PBE) data for an optimized crystal structure of NaPd, as listed in Alexandria via LeMat-Bulk.

Output
ΔH_f (0 K) = 0.032 eV per atom

abc: 8.3800 8.3800 4.7513
angles: 90.00 90.00 90.00
Last column: nearest neighbours and their distance in Å.
Fractional positions:
Na 0.0000 0.2798 0.0000  6 Pd 2.85-2.91
Na 0.0000 0.7202 0.0000  6 Pd 2.85-2.91
Na 0.2202 0.5000 0.5000  6 Pd 2.85-2.91
Na 0.2798 0.0000 0.0000  6 Pd 2.85-2.91
Na 0.5000 0.2202 0.5000  6 Pd 2.85-2.91
Na 0.5000 0.7798 0.5000  6 Pd 2.85-2.91
Na 0.7202 0.0000 0.0000  6 Pd 2.85-2.91
Na 0.7798 0.5000 0.5000  6 Pd 2.85-2.91
Pd 0.1640 0.1640 0.5000  2 Pd 2.75, 6 Na 2.85-2.91
Pd 0.1640 0.8360 0.5000  2 Pd 2.75, 6 Na 2.85-2.91
Pd 0.3360 0.3360 0.0000  2 Pd 2.75, 6 Na 2.85-2.91
Pd 0.3360 0.6640 0.0000  2 Pd 2.75, 6 Na 2.85-2.91
Pd 0.6640 0.3360 0.0000  2 Pd 2.75, 6 Na 2.85-2.91
Pd 0.6640 0.6640 0.0000  2 Pd 2.75, 6 Na 2.85-2.91
Pd 0.8360 0.1640 0.5000  2 Pd 2.75, 6 Na 2.85-2.91
Pd 0.8360 0.8360 0.5000  2 Pd 2.75, 6 Na 2.85-2.91